No. 1
Material: SrYCoO4
Method: DFT, GGA-PBEsol
State: relaxed

abc: 5.2199 5.2674 6.4793
angles: 90.00 113.75 90.00
Fractional coordinates of all 14 atoms:
O1 0.7565 0.7500 0.0129
O2 0.2564 0.7500 0.0129
O3 0.8267 0.0119 0.6534
O4 0.2725 0.2500 0.0450
O5 0.7725 0.2500 0.0450
O6 0.3267 0.4880 0.6534
O7 0.1585 0.9700 0.3169
O8 0.6585 0.5299 0.3169
Sr1 0.8567 0.4982 0.7134
Sr2 0.3567 0.0018 0.7134
Co1 0.9926 0.0030 0.9852
Co2 0.4926 0.4970 0.9852
Y1 0.6369 0.9832 0.2738
Y2 0.1369 0.5167 0.2738

Output
For the electronic total energy, the calculation gives -109.3 eV per cell. The energy relative to the elements, uncorrected is -2.466 eV/atom.

No. 2
Material: SrYCoO4
Method: DFT, GGA-PBEsol
State: relaxed

abc: 3.6981 3.6981 6.4925
angles: 106.55 106.55 90.00
Fractional coordinates of all 7 atoms:
O1 0.5146 0.0146 0.0291
O2 0.8267 0.8267 0.6533
O3 0.0146 0.5146 0.0291
O4 0.1583 0.1583 0.3167
Co1 0.9923 0.9923 0.9846
Y1 0.6369 0.6369 0.2738
Sr1 0.3567 0.3567 0.7134

Output
For the electronic total energy, the calculation gives -54.7 eV per cell. The energy relative to the elements, uncorrected is -2.465 eV/atom.

No. 3
Material: Sr3YCo2O8
Method: DFT, GGA-PBEsol
State: relaxed

abc: 5.2702 5.2667 6.6145
angles: 113.46 90.00 90.00
Fractional coordinates of all 14 atoms:
Sr1 0.0000 0.6420 0.2840
Sr2 0.0000 0.3549 0.7099
Sr3 0.5000 0.1460 0.2919
Co1 0.5000 0.5025 0.0049
Co2 0.0000 0.0008 0.0015
O1 0.0000 0.8397 0.6794
O2 0.5000 0.3437 0.6874
O3 0.0000 0.1566 0.3131
O4 0.2584 0.7509 0.9868
O5 0.2584 0.2359 0.9868
O6 0.7416 0.7509 0.9868
O7 0.5000 0.6755 0.3509
O8 0.7416 0.2359 0.9868
Y1 0.5000 0.8650 0.7300

Output
For the electronic total energy, the calculation gives -101.9 eV per cell. The energy relative to the elements, uncorrected is -2.289 eV/atom.

No. 4
Material: SrYCoO4
Method: DFT, GGA-PBEsol
State: relaxed

abc: 6.4925 7.4008 8.2758
angles: 63.44 67.52 73.44
Fractional coordinates of all 28 atoms:
O1 0.0092 0.2503 0.9947
O2 0.6537 0.0370 0.0874
O3 0.3164 0.4445 0.9200
O4 0.3162 0.9772 0.9194
O5 0.0306 0.8684 0.2424
O6 0.0284 0.6279 0.7431
O7 0.0480 0.7425 0.9909
O8 0.0210 0.4937 0.5022
O9 0.3171 0.2162 0.4217
O10 0.3164 0.7032 0.4228
O11 0.6532 0.5490 0.0871
O12 0.0314 0.3738 0.2422
O13 0.6526 0.7958 0.5865
O14 0.6543 0.2914 0.5856
O15 0.0360 0.9993 0.4835
O16 0.0282 0.1154 0.7428
Y1 0.2746 0.5848 0.1947
Y2 0.2737 0.0959 0.1698
Y3 0.2744 0.8445 0.6751
Y4 0.2723 0.3384 0.6865
Sr1 0.7128 0.9113 0.8214
Sr2 0.7137 0.6604 0.3222
Sr3 0.7137 0.1610 0.3214
Sr4 0.7125 0.4109 0.8218
Co1 0.9854 0.5040 0.0040
Co2 0.9845 0.2512 0.5035
Co3 0.9845 0.7529 0.5040
Co4 0.9853 0.9994 0.0037

Output
For the electronic total energy, the calculation gives -218.6 eV per cell. The energy relative to the elements, uncorrected is -2.466 eV/atom.

No. 5
Material: Sr3ZnCoO6
Method: DFT, GGA-PBEsol
State: relaxed

abc: 6.5337 6.5337 6.5337
angles: 92.44 92.44 92.44
Fractional coordinates of all 22 atoms:
O1 0.0883 0.9584 0.2750
O2 0.9584 0.2750 0.0883
O3 0.4584 0.5883 0.7750
O4 0.9117 0.0416 0.7250
O5 0.2250 0.5416 0.4117
O6 0.7750 0.4584 0.5883
O7 0.5883 0.7750 0.4584
O8 0.7250 0.9117 0.0416
O9 0.4117 0.2250 0.5416
O10 0.5416 0.4117 0.2250
O11 0.2750 0.0883 0.9584
O12 0.0416 0.7250 0.9117
Co1 0.0000 0.0000 0.0000
Co2 0.5000 0.5000 0.5000
Sr1 0.1146 0.3854 0.7500
Sr2 0.2500 0.8854 0.6146
Sr3 0.3854 0.7500 0.1146
Sr4 0.8854 0.6146 0.2500
Sr5 0.7500 0.1146 0.3854
Sr6 0.6146 0.2500 0.8854
Zn1 0.7500 0.7500 0.7500
Zn2 0.2500 0.2500 0.2500

Output
For the electronic total energy, the calculation gives -139.6 eV per cell. The energy relative to the elements, uncorrected is -2.134 eV/atom.

No. 6
Material: Ta2CoO6
Method: DFT, GGA-PBEsol
State: relaxed

abc: 4.7537 4.7537 8.9871
angles: 90.00 90.00 90.00
Fractional coordinates of all 18 atoms:
Ta1 0.5000 0.5000 0.1704
Ta2 0.0000 0.0000 0.6704
Ta3 0.5000 0.5000 0.8296
Ta4 0.0000 0.0000 0.3296
O1 0.2048 0.2048 0.8274
O2 0.6924 0.3076 0.0000
O3 0.2048 0.2048 0.1726
O4 0.8076 0.8076 0.5000
O5 0.3076 0.6924 0.0000
O6 0.1924 0.1924 0.5000
O7 0.2952 0.7048 0.3274
O8 0.7048 0.2952 0.3274
O9 0.2952 0.7048 0.6726
O10 0.7952 0.7952 0.8274
O11 0.7048 0.2952 0.6726
O12 0.7952 0.7952 0.1726
Co1 0.5000 0.5000 0.5000
Co2 0.0000 0.0000 0.0000

Output
For the electronic total energy, the calculation gives -170.9 eV per cell. The energy relative to the elements, uncorrected is -2.347 eV/atom.

No. 7
Material: Ta2Zn2CoO8
Method: DFT, GGA-PBEsol
State: relaxed

abc: 5.1774 5.8695 9.9044
angles: 107.24 90.19 90.00
Fractional coordinates of all 26 atoms:
O1 0.4191 0.4319 0.1150
O2 0.8648 0.4532 0.6150
O3 0.9191 0.6831 0.1150
O4 0.0619 0.0796 0.3569
O5 0.9381 0.9204 0.6431
O6 0.4381 0.7227 0.6431
O7 0.6352 0.8382 0.3850
O8 0.0805 0.8132 0.8647
O9 0.5805 0.0516 0.8647
O10 0.4195 0.9484 0.1353
O11 0.3648 0.1618 0.6150
O12 0.0809 0.3169 0.8850
O13 0.9195 0.1868 0.1353
O14 0.5809 0.5681 0.8850
O15 0.1352 0.5468 0.3850
O16 0.5619 0.2773 0.3569
Ta1 0.7412 0.7300 0.7732
Ta2 0.2412 0.0433 0.7732
Ta3 0.2588 0.2700 0.2268
Ta4 0.7588 0.9567 0.2268
Co1 0.7500 0.3744 0.0000
Co2 0.2500 0.6256 0.0000
Zn1 0.2366 0.4348 0.5607
Zn2 0.7634 0.5652 0.4393
Zn3 0.7366 0.1259 0.5607
Zn4 0.2634 0.8741 0.4393

Output
For the electronic total energy, the calculation gives -209.2 eV per cell. The energy relative to the elements, uncorrected is -2.047 eV/atom.

No. 8
Material: Co2TcO4
Method: DFT, GGA-PBEsol
State: relaxed

abc: 5.4945 5.8901 5.8901
angles: 61.22 62.20 62.20
Fractional coordinates of all 14 atoms:
Tc1 0.5000 0.5000 0.0000
Tc2 0.0000 0.5000 0.0000
O1 0.7542 0.2650 0.7650
O2 0.2519 0.7460 0.7502
O3 0.7481 0.2540 0.2498
O4 0.2158 0.2650 0.7650
O5 0.2458 0.7350 0.2350
O6 0.2519 0.2502 0.2460
O7 0.7842 0.7350 0.2350
O8 0.7481 0.7498 0.7540
Co1 0.6194 0.1306 0.6306
Co2 0.3806 0.8694 0.3694
Co3 0.0000 0.0000 0.0000
Co4 0.0000 0.5000 0.5000

Output
For the electronic total energy, the calculation gives -108.9 eV per cell. The energy relative to the elements, uncorrected is -0.958 eV/atom.

No. 9
Material: CoTe2O
Method: DFT, GGA-PBEsol
State: relaxed

abc: 5.2511 5.2511 6.8999
angles: 112.37 112.37 90.00
Fractional coordinates of all 8 atoms:
O1 0.7500 0.2500 0.5000
O2 0.5000 0.5000 0.0000
Co1 0.2500 0.7500 0.5000
Co2 0.0000 0.0000 0.0000
Te1 0.1250 0.1231 0.7500
Te2 0.6250 0.6269 0.7500
Te3 0.8769 0.3750 0.2500
Te4 0.3731 0.8750 0.2500

Output
For the electronic total energy, the calculation gives -40.3 eV per cell. The energy relative to the elements, uncorrected is -0.026 eV/atom.

No. 10
Material: Co2Te3O8
Method: DFT, GGA-PBEsol
State: relaxed

abc: 5.1280 6.7451 11.3101
angles: 97.76 90.00 112.34
Fractional coordinates of all 26 atoms:
O1 0.5593 0.3950 0.1958
O2 0.4407 0.6050 0.8042
O3 0.1370 0.1701 0.3585
O4 0.0330 0.1701 0.8585
O5 0.9670 0.8299 0.1415
O6 0.2569 0.5309 0.5283
O7 0.1643 0.6050 0.3042
O8 0.7431 0.4691 0.4717
O9 0.7260 0.4691 0.9717
O10 0.0298 0.7769 0.8691
O11 0.8357 0.3950 0.6958
O12 0.2528 0.2231 0.6309
O13 0.2740 0.5309 0.0283
O14 0.8630 0.8299 0.6415
O15 0.7472 0.7769 0.3691
O16 0.9702 0.2231 0.1309
Te1 0.1819 0.0000 0.7500
Te2 0.3279 0.2622 0.0498
Te3 0.0657 0.7378 0.4502
Te4 0.9343 0.2622 0.5498
Te5 0.6721 0.7378 0.9502
Te6 0.8181 0.0000 0.2500
Co1 0.9623 0.5332 0.1488
Co2 0.4292 0.4668 0.3512
Co3 0.5708 0.5332 0.6488
Co4 0.0377 0.4668 0.8512

Output
For the electronic total energy, the calculation gives -159.7 eV per cell. The energy relative to the elements, uncorrected is -0.909 eV/atom.

No. 11
Material: CoTe6O13
Method: DFT, GGA-PBEsol
State: relaxed

abc: 8.5395 8.5395 8.5395
angles: 72.06 72.06 72.06
Fractional coordinates of all 40 atoms:
O1 0.5833 0.6016 0.8952
O2 0.2967 0.5481 0.7992
O3 0.0481 0.3854 0.1349
O4 0.1349 0.0481 0.3854
O5 0.5844 0.5844 0.5844
O6 0.5481 0.7992 0.2967
O7 0.4167 0.3984 0.1048
O8 0.3984 0.1048 0.4167
O9 0.1182 0.8743 0.7973
O10 0.7033 0.4519 0.2008
O11 0.6146 0.8651 0.9519
O12 0.8743 0.7973 0.1182
O13 0.1257 0.2027 0.8818
O14 0.4519 0.2008 0.7033
O15 0.9519 0.6146 0.8651
O16 0.3854 0.1349 0.0481
O17 0.2008 0.7033 0.4519
O18 0.7973 0.1182 0.8743
O19 0.7992 0.2967 0.5481
O20 0.6016 0.8952 0.5833
O21 0.8651 0.9519 0.6146
O22 0.4156 0.4156 0.4156
O23 0.1048 0.4167 0.3984
O24 0.8952 0.5833 0.6016
O25 0.8818 0.1257 0.2027
O26 0.2027 0.8818 0.1257
Te1 0.4841 0.5693 0.1670
Te2 0.1670 0.4841 0.5693
Te3 0.5693 0.1670 0.4841
Te4 0.9748 0.0842 0.6706
Te5 0.8330 0.5159 0.4307
Te6 0.6706 0.9748 0.0842
Te7 0.9158 0.3294 0.0252
Te8 0.4307 0.8330 0.5159
Te9 0.5159 0.4307 0.8330
Te10 0.0842 0.6706 0.9748
Te11 0.0252 0.9158 0.3294
Te12 0.3294 0.0252 0.9158
Co1 0.2445 0.2445 0.2445
Co2 0.7555 0.7555 0.7555

Output
For the electronic total energy, the calculation gives -234.0 eV per cell. The energy relative to the elements, uncorrected is -0.994 eV/atom.

No. 12
Material: Co3TeO6
Method: DFT, GGA-PBEsol
State: relaxed

abc: 8.2655 8.2655 10.0591
angles: 85.55 85.55 65.03
Fractional coordinates of all 60 atoms:
O1 0.4117 0.4310 0.1788
O2 0.8863 0.2525 0.8411
O3 0.7432 0.0845 0.1706
O4 0.0667 0.0821 0.0528
O5 0.2268 0.2938 0.8614
O6 0.8955 0.5787 0.3747
O7 0.5883 0.5690 0.8212
O8 0.4055 0.0386 0.6446
O9 0.0821 0.0667 0.5528
O10 0.1137 0.7475 0.1589
O11 0.9333 0.9179 0.9472
O12 0.3984 0.7542 0.5723
O13 0.9179 0.9333 0.4472
O14 0.4310 0.4117 0.6788
O15 0.0845 0.7432 0.6706
O16 0.9614 0.5945 0.8554
O17 0.7475 0.1137 0.6589
O18 0.4213 0.1045 0.1253
O19 0.2568 0.9155 0.8294
O20 0.7542 0.3984 0.0723
O21 0.0386 0.4055 0.1446
O22 0.5787 0.8955 0.8747
O23 0.7062 0.7732 0.6386
O24 0.5945 0.9614 0.3554
O25 0.9155 0.2568 0.3294
O26 0.5690 0.5883 0.3212
O27 0.2458 0.6016 0.9277
O28 0.7516 0.4005 0.5790
O29 0.2525 0.8863 0.3411
O30 0.1045 0.4213 0.6253
O31 0.6016 0.2458 0.4277
O32 0.7732 0.7062 0.1386
O33 0.4005 0.7516 0.0790
O34 0.5995 0.2484 0.9210
O35 0.2938 0.2268 0.3614
O36 0.2484 0.5995 0.4210
Co1 0.8659 0.5619 0.5653
Co2 0.6665 0.3335 0.7500
Co3 0.3335 0.6665 0.2500
Co4 0.1341 0.4381 0.4347
Co5 0.8439 0.1720 0.4925
Co6 0.5619 0.8659 0.0653
Co7 0.3765 0.9767 0.4621
Co8 0.8280 0.1561 0.0075
Co9 0.8094 0.4878 0.2392
Co10 0.9767 0.3765 0.9621
Co11 0.1720 0.8439 0.9925
Co12 0.1561 0.8280 0.5075
Co13 0.4878 0.8094 0.7392
Co14 0.0233 0.6235 0.0379
Co15 0.4381 0.1341 0.9347
Co16 0.6235 0.0233 0.5379
Co17 0.1906 0.5122 0.7608
Co18 0.5122 0.1906 0.2608
Te1 0.5000 0.5000 0.5000
Te2 0.8485 0.8543 0.7750
Te3 0.5000 0.5000 0.0000
Te4 0.8543 0.8485 0.2750
Te5 0.1457 0.1515 0.7250
Te6 0.1515 0.1457 0.2250

Output
For the electronic total energy, the calculation gives -400.6 eV per cell. The energy relative to the elements, uncorrected is -0.853 eV/atom.